An optimized crystal structure of Ac2PrTlN. Source: Alexandria via LeMat-Bulk, functional GGA-PBE.

Summary:
The calculation puts the total DFT energy (no corrections) at -5.4112 eV/atom. As for the total magnetization: 0.0 Bohr magnetons per cell. The calculation puts the formation energy (no corrections) at -15.5 kcal/mol of atoms.

Unit cell a=5.1689 b=5.3327 c=5.3327 alpha=90.00 beta=90.00 gamma=90.00
Closest atoms and distances in Å follow each position.
Fractional positions:
Ac 0.0000 0.0000 0.5000  2 N 2.67
Ac 0.0000 0.5000 0.0000  2 N 2.67
Tl 0.5000 0.5000 0.5000  8 Ac 3.71, 4 Pr 3.77
N 0.0000 0.0000 0.0000  2 Pr 2.58, 4 Ac 2.67
Pr 0.5000 0.0000 0.0000  2 N 2.58

***

An optimized crystal structure of NdDy2TmSc4. Source: Alexandria via LeMat-Bulk, functional GGA-PBE.

Summary:
The calculation puts the total DFT energy (no corrections) at -5.0315 eV/atom. As for the total magnetization: 7.1 Bohr magnetons per cell. Its calculated formation energy is 3.52 eV per formula unit.

Unit cell a=9.0854 b=9.0854 c=11.2814 alpha=128.38 beta=128.38 gamma=88.34
Closest atoms and distances in Å follow each position.
Fractional positions:
Dy 0.0000 0.0000 0.5000  6 Sc 3.19-3.28, 2 Dy 3.26
Dy 0.5000 0.0000 0.5000  6 Sc 3.16-3.26, 2 Nd 3.26
Dy 0.5000 0.5000 0.0000  6 Sc 3.19-3.28, 2 Dy 3.26
Dy 0.5000 0.0000 0.0000  6 Sc 3.16-3.26, 2 Nd 3.26
Sc 0.7493 0.7494 0.9978  3 Dy 3.16-3.28, 1 Nd 3.17, 2 Tm 3.24-3.25, 2 Sc 3.26
Sc 0.2525 0.7488 0.5006  1 Tm 3.14, 3 Dy 3.19-3.26, 2 Sc 3.26-3.27, 2 Nd 3.26
Sc 0.2494 0.2493 0.4978  3 Dy 3.16-3.28, 1 Nd 3.17, 2 Tm 3.24-3.25, 2 Sc 3.26
Sc 0.7475 0.2512 0.4994  1 Tm 3.14, 3 Dy 3.19-3.26, 2 Sc 3.26-3.27, 2 Nd 3.26
Sc 0.2507 0.2506 0.0022  3 Dy 3.16-3.28, 1 Nd 3.17, 2 Tm 3.24-3.25, 2 Sc 3.26
Sc 0.7506 0.7507 0.5022  3 Dy 3.16-3.28, 1 Nd 3.17, 2 Tm 3.24-3.25, 2 Sc 3.26
Sc 0.2488 0.7525 0.0006  1 Tm 3.14, 3 Dy 3.19-3.26, 2 Sc 3.26-3.27, 2 Nd 3.26
Sc 0.7512 0.2475 0.9994  1 Tm 3.14, 3 Dy 3.19-3.26, 2 Sc 3.26-3.27, 2 Nd 3.26
Tm 0.5000 0.5000 0.5000  6 Sc 3.14-3.25, 2 Tm 3.26
Tm 0.0000 0.0000 0.0000  6 Sc 3.14-3.25, 2 Tm 3.26
Nd 0.0000 0.5000 0.5000  6 Sc 3.17-3.26, 2 Dy 3.26
Nd 0.0000 0.5000 0.0000  6 Sc 3.17-3.26, 2 Dy 3.26

***

An optimized crystal structure of InCu2Tc2. Source: Alexandria via LeMat-Bulk, functional GGA-PBE.

Summary:
The calculation puts the total DFT energy (no corrections) at -5.9052 eV/atom. As for the total magnetization: 0.0 Bohr magnetons per cell. Its calculated formation energy is 2.14 eV per formula unit.

Unit cell a=6.9768 b=6.9768 c=3.2824 alpha=90.00 beta=90.00 gamma=90.00
Closest atoms and distances in Å follow each position.
Fractional positions:
Cu 0.8206 0.3206 0.5000  6 Tc 2.61-2.67
Cu 0.6794 0.8206 0.5000  6 Tc 2.61-2.67
Cu 0.3206 0.1794 0.5000  6 Tc 2.61-2.67
Cu 0.1794 0.6794 0.5000  6 Tc 2.61-2.67
Tc 0.6151 0.1151 0.0000  1 Tc 2.27
Tc 0.8849 0.6151 0.0000  1 Tc 2.27
Tc 0.1151 0.3849 0.0000  1 Tc 2.27
Tc 0.3849 0.8849 0.0000  1 Tc 2.27
In 0.0000 0.0000 0.0000  4 Tc 2.80, 8 Cu 3.04
In 0.5000 0.5000 0.0000  4 Tc 2.80, 8 Cu 3.04

***

An optimized crystal structure of CsAl2Ag. Source: Alexandria via LeMat-Bulk, functional GGA-PBE.

Summary:
The calculation puts the total DFT energy (no corrections) at -2.1238 eV/atom. As for the total magnetization: 0.0 Bohr magnetons per cell. Its calculated formation energy is 2.69 eV per formula unit.

Unit cell a=5.3102 b=5.3102 c=5.3102 alpha=60.00 beta=60.00 gamma=60.00
Closest atoms and distances in Å follow each position.
Fractional positions:
Al 0.2500 0.2500 0.2500  4 Cs 3.25, 4 Ag 3.25
Al 0.7500 0.7500 0.7500  4 Ag 3.25, 4 Cs 3.25
Ag 0.0000 0.0000 0.0000  8 Al 3.25
Cs 0.5000 0.5000 0.5000  8 Al 3.25

***

An optimized crystal structure of Pa2ZnGe3Pd4. Source: Alexandria via LeMat-Bulk, functional GGA-PBE.

Summary:
The calculation puts the total DFT energy (no corrections) at -6.0672 eV/atom. As for the total magnetization: 0.0 Bohr magnetons per cell. Its calculated formation energy is -5.78 eV per formula unit.

Unit cell a=4.1714 b=4.1714 c=10.5723 alpha=90.00 beta=90.00 gamma=90.00
Closest atoms and distances in Å follow each position.
Fractional positions:
Pa 0.5000 0.0000 0.2483  8 Pd 3.18-3.35, 6 Ge 3.19-3.38, 2 Zn 3.38
Pa 0.0000 0.5000 0.7517  8 Pd 3.18-3.35, 6 Ge 3.19-3.38, 2 Zn 3.38
Pd 0.5000 0.5000 0.0000  4 Ge 2.52
Pd 0.5000 0.0000 0.6383  3 Ge 2.41-2.55, 2 Zn 2.55
Pd 0.0000 0.5000 0.3617  3 Ge 2.41-2.55, 2 Zn 2.55
Pd 0.0000 0.0000 0.0000  4 Ge 2.52
Zn 0.5000 0.5000 0.5000  4 Pd 2.55
Ge 0.5000 0.0000 0.8660  5 Pd 2.41-2.52
Ge 0.0000 0.0000 0.5000  4 Pd 2.55
Ge 0.0000 0.5000 0.1340  5 Pd 2.41-2.52

***

An optimized crystal structure of Ca2ZrTiO6. Source: Alexandria via LeMat-Bulk, functional GGA-PBE.

Summary:
The calculation puts the total DFT energy (no corrections) at -8.0812 eV/atom. The relative energy among the computed polymorphs is 0.120 eV per atom. As for the total magnetization: 0.0 Bohr magnetons per cell. The calculation puts the formation energy (no corrections) at -70.6 kcal/mol of atoms.

Unit cell a=5.6904 b=5.6904 c=5.6904 alpha=60.00 beta=60.00 gamma=60.00
Closest atoms and distances in Å follow each position.
Fractional positions:
Ca 0.2500 0.2500 0.2500  12 O 2.85
Ca 0.7500 0.7500 0.7500  12 O 2.85
O 0.7579 0.2421 0.7579  1 Ti 1.95, 1 Zr 2.08
O 0.2421 0.2421 0.7579  1 Ti 1.95, 1 Zr 2.08
O 0.7579 0.7579 0.2421  1 Ti 1.95, 1 Zr 2.08
O 0.2421 0.7579 0.2421  1 Ti 1.95, 1 Zr 2.08
O 0.7579 0.2421 0.2421  1 Ti 1.95, 1 Zr 2.08
O 0.2421 0.7579 0.7579  1 Ti 1.95, 1 Zr 2.08
Zr 0.5000 0.5000 0.5000  6 O 2.08
Ti 0.0000 0.0000 0.0000  6 O 1.95

***

An optimized crystal structure of PbF2. Source: Alexandria via LeMat-Bulk, functional GGA-PBE.

Summary:
The calculation puts the total DFT energy (no corrections) at -4.8844 eV/atom. As for the total magnetization: 0.0 Bohr magnetons per cell. The calculation puts the formation energy (no corrections) at -55.4 kcal/mol of atoms.

Unit cell a=4.2359 b=4.2366 c=4.2366 alpha=60.02 beta=60.01 gamma=60.01
Closest atoms and distances in Å follow each position.
Fractional positions:
Pb 0.0000 0.0000 0.0000  8 F 2.59
F 0.7502 0.7498 0.7498  4 Pb 2.59
F 0.2498 0.2502 0.2502  4 Pb 2.59

***

An optimized crystal structure of Y2HfHg. Source: Alexandria via LeMat-Bulk, functional GGA-PBE.

Summary:
The calculation puts the total DFT energy (no corrections) at -5.9644 eV/atom. As for the total magnetization: 0.0 Bohr magnetons per cell. Its calculated formation energy is -0.67 eV per formula unit.

Unit cell a=3.4546 b=3.4546 c=8.8056 alpha=90.00 beta=90.00 gamma=90.00
Closest atoms and distances in Å follow each position.
Fractional positions:
Hg 0.5000 0.5000 0.0000  8 Y 3.24, 4 Hg 3.45
Y 0.0000 0.0000 0.7574  4 Hg 3.24, 4 Hf 3.33, 4 Y 3.45
Y 0.0000 0.0000 0.2426  4 Hg 3.24, 4 Hf 3.33, 4 Y 3.45
Hf 0.5000 0.5000 0.5000  8 Y 3.33, 4 Hf 3.45

***

An optimized crystal structure of Ga3SiAg. Source: Alexandria via LeMat-Bulk, functional GGA-PBE.

Summary:
The calculation puts the total DFT energy (no corrections) at -2.8118 eV/atom. The relative energy among the computed polymorphs is 0.220 eV per atom. As for the total magnetization: 0.0 Bohr magnetons per cell. The calculation puts the formation energy (no corrections) at 15.2 kcal/mol of atoms.

Unit cell a=4.9380 b=4.9380 c=4.9380 alpha=90.00 beta=90.00 gamma=90.00
Closest atoms and distances in Å follow each position.
Fractional positions:
Ag 0.0000 0.0000 0.0000  6 Ga 2.47
Ga 0.5000 0.0000 0.0000  2 Ag 2.47
Ga 0.0000 0.0000 0.5000  2 Ag 2.47
Ga 0.0000 0.5000 0.0000  2 Ag 2.47
Si 0.5000 0.5000 0.5000  12 Ga 3.49

***

An optimized crystal structure of Ba5Na4Sr. Source: Alexandria via LeMat-Bulk, functional GGA-PBE.

Summary:
The calculation puts the total DFT energy (no corrections) at -1.6429 eV/atom. As for the total magnetization: 0.0 Bohr magnetons per cell. Its calculated formation energy is 0.14 eV per formula unit.

Unit cell a=4.6905 b=4.6905 c=24.3231 alpha=90.00 beta=90.00 gamma=90.00
Closest atoms and distances in Å follow each position.
Fractional positions:
Ba 0.5000 0.5000 0.3089  8 Na 4.05-4.09
Ba 0.5000 0.5000 0.6911  8 Na 4.05-4.09
Ba 0.5000 0.5000 0.8839  4 Na 4.04, 4 Sr 4.36
Ba 0.5000 0.5000 0.1161  4 Na 4.04, 4 Sr 4.36
Ba 0.5000 0.5000 0.5000  8 Na 4.05
Sr 0.0000 0.0000 0.0000  8 Ba 4.36, 4 Sr 4.69
Na 0.0000 0.0000 0.4045  8 Ba 4.05
Na 0.0000 0.0000 0.5955  8 Ba 4.05
Na 0.0000 0.0000 0.2107  8 Ba 4.04-4.09
Na 0.0000 0.0000 0.7893  8 Ba 4.04-4.09